<a>
Below is a geometry-optimized YThPt structure, with properties calculated at the PBE-GGA level.

a = 4.960 Å, b = 4.960 Å, c = 4.960 Å
α = 60.00°, β = 60.00°, γ = 60.00°
Element x y z (fractional)
Th 0.500 0.500 0.500
Y 0.000 0.000 0.000
Pt 0.250 0.250 0.250

Output
Space-group type: F-43m, No. 216
Density of states at the Fermi level (states/eV per atom): 1.13

***

<b>
Below is a geometry-optimized YThPt structure, with properties calculated at the PBE-GGA level.

a = 5.491 Å, b = 8.237 Å, c = 7.101 Å
α = 90.00°, β = 90.00°, γ = 90.00°
Element x y z (fractional)
Th 0.503 0.035 0.871
Th 0.503 0.965 0.371
Th 0.003 0.965 0.129
Th 0.003 0.035 0.629
Pt 0.002 0.708 0.866
Pt 0.502 0.708 0.634
Pt 0.502 0.292 0.134
Pt 0.002 0.292 0.366
Y 0.502 0.635 0.038
Y 0.002 0.635 0.462
Y 0.502 0.365 0.538
Y 0.002 0.365 0.962

Output
Space-group type: Pbcm, No. 57
Density of states at the Fermi level (states/eV per atom): 1.17

***

<c>
Below is a geometry-optimized YThPt structure, with properties calculated at the PBE-GGA level.

a = 4.107 Å, b = 4.752 Å, c = 4.752 Å
α = 120.00°, β = 90.00°, γ = 90.00°
Element x y z (fractional)
Pt 0.354 0.333 0.667
Y 0.587 0.667 0.333
Th 0.059 0.000 0.000

Output
Space-group type: P3m1, No. 156
Density of states at the Fermi level (states/eV per atom): 0.67

***

What should be chosen as the most stable of them? Choose <a>.

***

<a>
Below is a geometry-optimized ThZn9Pt2 structure, with properties calculated at the PBE-GGA level.

a = 3.118 Å, b = 8.726 Å, c = 8.726 Å
α = 120.00°, β = 90.00°, γ = 90.00°
Element x y z (fractional)
Zn 0.500 0.375 0.187
Zn 0.000 0.000 0.500
Zn 0.000 0.500 0.000
Zn 0.000 0.500 0.500
Zn 0.500 0.187 0.375
Zn 0.500 0.813 0.187
Zn 0.500 0.187 0.813
Zn 0.500 0.625 0.813
Zn 0.500 0.813 0.625
Pt 0.000 0.667 0.333
Pt 0.000 0.333 0.667
Th 0.000 0.000 0.000

Output
Space-group type: P6/mmm, No. 191
Density of states at the Fermi level (states/eV per atom): 0.54

***

<b>
Below is a geometry-optimized ThZn9Pt2 structure, with properties calculated at the PBE-GGA level.

a = 6.896 Å, b = 8.286 Å, c = 8.286 Å
α = 80.03°, β = 65.41°, γ = 65.41°
Element x y z (fractional)
Zn 0.430 0.415 0.828
Zn 0.154 0.415 0.172
Zn 0.430 0.828 0.415
Zn 0.742 0.828 0.585
Zn 0.673 0.172 0.585
Zn 0.320 0.672 0.085
Zn 0.320 0.085 0.672
Zn 0.077 0.328 0.915
Zn 0.742 0.585 0.828
Zn 0.673 0.585 0.172
Zn 0.008 0.915 0.672
Zn 0.154 0.172 0.415
Zn 0.077 0.915 0.328
Zn 0.000 0.000 0.000
Zn 0.596 0.085 0.328
Zn 0.750 0.500 0.500
Zn 0.008 0.672 0.915
Zn 0.596 0.328 0.085
Pt 0.375 0.750 0.750
Pt 0.875 0.750 0.250
Pt 0.875 0.250 0.250
Pt 0.875 0.250 0.750
Th 0.500 0.000 0.000
Th 0.250 0.500 0.500

Output
Space-group type: I4_1/amd, No. 141
Density of states at the Fermi level (states/eV per atom): 0.39

***

What should be chosen as the most stable of them? Choose <b>.